Entry 1:
! Ag3BSe (PBE, optimized geometry); values from VASP
! Distance to the lowest polymorph of the same formula = 0 meV/atom
! Uncorrected energy = -3.1354 eV per atom
! ΔE_f (raw) = 0.61 eV/atom
! Space group = Pm-3m
&SYSTEM
  ibrav = 0, nat = 5, ntyp = 3
/
ATOMIC_SPECIES
Ag 107.87 Ag.upf
B 10.81 B.upf
Se 78.96 Se.upf
CELL_PARAMETERS angstrom
-2.6366 0.6043 3.5484
-2.6202 -3.3380 -1.3785
2.4679 -2.8984 2.3274
ATOMIC_POSITIONS angstrom
Ag -1.3101 -1.6690 -0.6892
Ag -1.3183 0.3021 1.7742
Ag 1.2340 -1.4492 1.1637
B 0.0000 0.0000 0.0000
Se -1.3945 -2.8161 2.2486


Entry 2:
! Tl12Sn2Pb5 (PBE, optimized geometry); values from VASP
! Distance to the lowest polymorph of the same formula = 14 meV/atom
! Uncorrected energy = -2.8419 eV per atom
! Space group = C2/m
! ΔE_f = 0.9 eV/f.u.
&SYSTEM
  ibrav = 0, nat = 19, ntyp = 3
/
ATOMIC_SPECIES
Pb 207.20 Pb.upf
Tl 204.38 Tl.upf
Sn 118.71 Sn.upf
CELL_PARAMETERS angstrom
-4.6711 5.7385 6.2528
-3.5573 -7.6576 -3.1341
3.8703 -3.7053 6.2918
ATOMIC_POSITIONS angstrom
Pb -3.6803 -3.0222 0.0243
Pb -0.6777 -2.6022 9.3862
Pb 1.9351 -1.8526 3.1459
Pb -0.4115 -4.4943 3.8173
Pb -3.9466 -1.1301 5.5933
Tl -2.1993 0.4203 8.5357
Tl 2.4532 -4.0883 5.5846
Tl -0.2946 -1.9197 5.9860
Tl -1.6903 -1.3375 2.7016
Tl -4.0634 -3.7048 3.4245
Tl -1.6815 1.1542 5.1890
Tl -6.8112 -1.5362 3.8259
Tl -2.6678 -4.2869 6.7089
Tl -4.6578 2.3082 6.6740
Tl -2.6765 -6.7786 4.2215
Tl 0.2998 -7.9326 2.7365
Tl -2.1587 -6.0447 0.8748
Sn -3.1680 3.8919 4.2408
Sn -1.5031 1.8465 2.0120


Look up the uncorrected energy of the second one.
-2.8419 eV per atom


Look up the uncorrected energy of the first one.
-3.1354 eV per atom